(a)
Entry from Alexandria via LeMat-Bulk: a relaxed structure of Si3SbO (GGA-PBEsol).

The structure belongs to space group Pm-3m (No. 221); the cell edges are 4.330, 4.330 and 4.330 Å and the angles 90.00°, 90.00° and 90.00°. The asymmetric unit holds Si at (0.000, 0.000, 0.500), Sb at (0.500, 0.500, 0.500) and O at (0.000, 0.000, 0.000).

For the total magnetization, the calculation gives 0.0 μB/cell.

---

(b)
Entry from Alexandria via LeMat-Bulk: a relaxed structure of Si3SbO (GGA-PBEsol).

The structure belongs to space group Pm-3m (No. 221); the cell edges are 5.114, 5.114 and 5.114 Å and the angles 90.00°, 90.00° and 90.00°. The asymmetric unit holds Si at (0.000, 0.000, 0.500), Sb at (0.000, 0.000, 0.000) and O at (0.500, 0.500, 0.500).

For the total magnetization, the calculation gives 1.3 μB/cell.

---

Verdict on stability: (a) comes out on top.

---

(a)
Entry from Alexandria via LeMat-Bulk: a relaxed structure of SnSbO2 (GGA-PBEsol).

The structure belongs to space group I-42d (No. 122); the cell edges are 5.308, 5.308 and 11.087 Å and the angles 90.00°, 90.00° and 90.00°. The asymmetric unit holds Sn at (0.000, 0.000, 0.000), Sb at (0.000, 0.000, 0.500) and O at (0.220, 0.250, 0.625).

For the total magnetization, the calculation gives 0.0 μB/cell.

---

(b)
Entry from Alexandria via LeMat-Bulk: a relaxed structure of SnSbO2 (GGA-PBEsol).

The structure belongs to space group Fm-3m (No. 225); the cell edges are 6.141, 6.141 and 6.141 Å and the angles 90.00°, 90.00° and 90.00°. The asymmetric unit holds Sn at (0.000, 0.000, 0.000), Sb at (0.000, 0.000, 0.500) and O at (0.250, 0.250, 0.250).

For the total magnetization, the calculation gives 0.0 μB/cell.

---

Verdict on stability: (a) comes out on top.

---

(a)
Entry from Alexandria via LeMat-Bulk: a relaxed structure of Tb3SbO7 (GGA-PBEsol).

The structure belongs to space group Cmcm (No. 63); the cell edges are 10.495, 7.340 and 7.453 Å and the angles 90.00°, 90.00° and 90.00°. The asymmetric unit holds Tb at (0.000, 0.000, 0.000), Tb at (0.228, 0.286, 0.250), Sb at (0.000, 0.500, 0.000), O at (0.000, 0.409, 0.250), O at (0.129, 0.307, 0.535) and O at (0.133, 0.018, 0.250).

For the total magnetization, the calculation gives 0.0 μB/cell.

---

(b)
Entry from Alexandria via LeMat-Bulk: a relaxed structure of Tb3SbO7 (GGA-PBEsol).

The structure belongs to space group Cmcm (No. 63); the cell edges are 7.412, 10.496 and 7.473 Å and the angles 90.00°, 90.00° and 90.00°. The asymmetric unit holds Tb at (0.000, 0.000, 0.000), Tb at (0.234, 0.266, 0.250), Sb at (0.000, 0.500, 0.000), O at (0.000, 0.130, 0.750), O at (0.000, 0.136, 0.250), O at (0.000, 0.429, 0.250) and O at (0.198, 0.375, 0.530).

For the total magnetization, the calculation gives 0.0 μB/cell.

---

Verdict on stability: (b) comes out on top.

---

(a)
Entry from Alexandria via LeMat-Bulk: a relaxed structure of SbTe2O (GGA-PBEsol).

The structure belongs to space group R-3m (No. 166, hexagonal axes); the cell edges are 3.2097, 3.2097 and 28.8645 Å and the angles 90.00°, 90.00° and 120.00°. The asymmetric unit holds Sb at (0.0000, 0.0000, 0.0000), Te at (0.0000, 0.0000, 0.1053) and O at (0.0000, 0.0000, 0.5000).

For the total magnetization, the calculation gives 0.0 μB/cell.

---

(b)
Entry from Alexandria via LeMat-Bulk: a relaxed structure of SbTe2O (GGA-PBEsol).

The structure belongs to space group R-3m (No. 166, hexagonal axes); the cell edges are 3.9554, 3.9554 and 24.3045 Å and the angles 90.00°, 90.00° and 120.00°. The asymmetric unit holds Sb at (0.0000, 0.0000, 0.0000), Te at (0.0000, 0.0000, 0.4170) and O at (0.0000, 0.0000, 0.5000).

For the total magnetization, the calculation gives 0.0 μB/cell.

---

Verdict on stability: (b) comes out on top.

---

(a)
Entry from Alexandria via LeMat-Bulk: a relaxed structure of ZnSbO2 (GGA-PBEsol).

The structure belongs to space group R-3m (No. 166, hexagonal axes); the cell edges are 3.1526, 3.1526 and 18.6739 Å and the angles 90.00°, 90.00° and 120.00°. The asymmetric unit holds Zn at (0.0000, 0.0000, 0.0000), Sb at (0.0000, 0.0000, 0.5000) and O at (0.0000, 0.0000, 0.3901).

For the total magnetization, the calculation gives 0.0 μB/cell.

---

(b)
Entry from Alexandria via LeMat-Bulk: a relaxed structure of ZnSbO2 (GGA-PBEsol).

The structure belongs to space group Fm-3m (No. 225); the cell edges are 5.813, 5.813 and 5.813 Å and the angles 90.00°, 90.00° and 90.00°. The asymmetric unit holds Zn at (0.000, 0.000, 0.000), Sb at (0.000, 0.000, 0.500) and O at (0.250, 0.250, 0.250).

For the total magnetization, the calculation gives 0.0 μB/cell.

---

Verdict on stability: (a) comes out on top.

---

(a)
Entry from Alexandria via LeMat-Bulk: a relaxed structure of Te3SeO (GGA-PBEsol).

The structure belongs to space group Pm-3m (No. 221); the cell edges are 5.381, 5.381 and 5.381 Å and the angles 90.00°, 90.00° and 90.00°. The asymmetric unit holds Te at (0.000, 0.000, 0.500), Se at (0.000, 0.000, 0.000) and O at (0.500, 0.500, 0.500).

For the total magnetization, the calculation gives 2.2 μB/cell.

---

(b)
Entry from Alexandria via LeMat-Bulk: a relaxed structure of Te3SeO (GGA-PBEsol).

The structure belongs to space group Pm-3m (No. 221); the cell edges are 4.797, 4.797 and 4.797 Å and the angles 90.00°, 90.00° and 90.00°. The asymmetric unit holds Te at (0.000, 0.000, 0.500), Se at (0.500, 0.500, 0.500) and O at (0.000, 0.000, 0.000).

For the total magnetization, the calculation gives 0.0 μB/cell.

---

Verdict on stability: (b) comes out on top.